Here is Pm2Pr5Sm12 after structural relaxation from Alexandria. Energies are from PBE.

The formation energy is 130 meV/atom. The value obtained for the polymorph energy (0 for the lowest one) is 0 meV/atom. As for the crystal system: monoclinic. As for the density of states at the Fermi level: 1.491 states/eV/atom.

The space group is C2/m (No. 12) and the conventional cell measures 22.4971, 7.1933 and 8.8212 Å, with angles of 90.00, 109.77 and 90.00 degrees. The asymmetric unit holds Pm at (0.0000, 0.2460, 0.0000), Pr at (0.0000, 0.5000, 0.5000), Pr at (0.1518, 0.0000, 0.0940), Pr at (0.2489, 0.5000, 0.4908), Sm at (0.0482, 0.0000, 0.6925), Sm at (0.1062, 0.2425, 0.3837), Sm at (0.1463, 0.5000, 0.0695) and Sm at (0.1995, 0.2466, 0.7928).

---

Here is Cu2AsPt2 after structural relaxation from Alexandria. Energies are from PBE.

The formation energy is -10 meV/atom. The value obtained for the polymorph energy (0 for the lowest one) is 0 meV/atom. As for the crystal system: tetragonal. As for the density of states at the Fermi level: 0.657 states/eV/atom.

The space group is P4/mbm (No. 127) and the conventional cell measures 7.4043, 7.4043 and 2.7963 Å, with angles of 90.00, 90.00 and 90.00 degrees. The asymmetric unit holds Cu at (0.1205, 0.3795, 0.0000), As at (0.0000, 0.0000, 0.5000) and Pt at (0.1751, 0.6751, 0.5000).